[1]
First-principles (PBE) data for a relaxed As3Br crystal, as listed in Alexandria.

Cell and atoms, written as POSCAR:
```
As3Br
1.0
4.378 0.000 0.000
0.000 4.378 0.000
0.000 0.000 4.378
As Br
3 1
Direct
0.500 0.000 0.500
0.500 0.500 0.000
0.000 0.500 0.500
0.000 0.000 0.000
```

Output
Offset from the most stable computed form = 0.681 eV per atom


[2]
First-principles (PBE) data for a relaxed SrInBO4 crystal, as listed in Alexandria.

Cell and atoms, written as POSCAR:
```
SrInBO4
1.0
5.597 0.033 0.000
-2.218 5.139 0.000
0.000 0.000 6.295
B In O Sr
2 2 8 2
Direct
0.860 0.140 0.750
0.140 0.860 0.250
0.148 0.852 0.750
0.852 0.148 0.250
0.846 0.763 0.250
0.763 0.237 0.941
0.763 0.237 0.559
0.237 0.763 0.059
0.763 0.846 0.750
0.154 0.237 0.750
0.237 0.154 0.250
0.237 0.763 0.441
0.500 0.500 0.500
0.500 0.500 0.000
```


| no. | ρ (kg/m3) | formation energy without anion corrections (eV per atom) |
| --- | --- | --- |
| 1 | 6031 | 0.7705 |
| 2 | 5073 | -2.1192 |